# 1
Material: LaTi2GaP
Method: DFT, PBE
State: optimized geometry

Geometry as CIF:
```
data_LaTi2GaP
_cell_length_a 4.665
_cell_length_b 4.665
_cell_length_c 5.472
_cell_angle_alpha 90.00
_cell_angle_beta 90.00
_cell_angle_gamma 90.00
_space_group_name_H-M_alt 'P 4/m m m'
_space_group_IT_number 123
_space_group_name_Hall '-P 4 2'
loop_
_atom_site_label
_atom_site_type_symbol
_atom_site_fract_x
_atom_site_fract_y
_atom_site_fract_z
La1 La 0.000 0.000 0.000
Ti1 Ti 0.000 0.500 0.500
Ga1 Ga 0.500 0.500 0.000
P1 P 0.000 0.000 0.500
```

Calculated values
For the volume, the calculation gives 23.82 Å³/atom. The formation energy is -0.252 eV/atom.


# 2
Material: BaZr2Sb2
Method: DFT, PBE
State: optimized geometry

Geometry as CIF:
```
data_BaZr2Sb2
_cell_length_a 4.553
_cell_length_b 4.553
_cell_length_c 14.570
_cell_angle_alpha 90.00
_cell_angle_beta 90.00
_cell_angle_gamma 90.00
_space_group_name_H-M_alt 'I 4/m m m'
_space_group_IT_number 139
_space_group_name_Hall '-I 4 2'
loop_
_atom_site_label
_atom_site_type_symbol
_atom_site_fract_x
_atom_site_fract_y
_atom_site_fract_z
Ba1 Ba 0.000 0.000 0.000
Zr1 Zr 0.000 0.500 0.250
Sb1 Sb 0.000 0.000 0.379
```

Calculated values
For the volume, the calculation gives 30.20 Å³/atom. As for the energy relative to the elements, uncorrected: -0.6921 eV per atom.